1.
This record from Alexandria via LeMat-Bulk describes a relaxed AcFeH8Rh2 crystal. The functional is GGA-PBE.

It has space group R-3 (No. 148, hexagonal axes), with a = 4.6846 Å, b = 4.6846 Å, c = 17.3830 Å, α = 90.00°, β = 90.00° and γ = 120.00°. The asymmetric unit holds Ac at (0.0000, 0.0000, 0.0000), Fe at (0.0000, 0.0000, 0.5000), H at (0.0000, 0.0000, 0.3025), H at (0.0080, 0.6307, 0.7871) and Rh at (0.0000, 0.0000, 0.2036).

The density of states at the Fermi level comes out at 0.31 states/eV per atom. The calculation puts the total energy at -169.65 eV per cell. The value obtained for the magnetization is 0.179 μB/atom.


2.
This record from Alexandria via LeMat-Bulk describes a relaxed Ac2FeH6Rh crystal. The functional is GGA-PBE.

It has space group Cm (No. 8), with a = 7.8414 Å, b = 7.3719 Å, c = 5.5672 Å, α = 90.00°, β = 134.73° and γ = 90.00°. The asymmetric unit holds Ac at (0.0000, 0.2502, 0.0000), Fe at (0.0072, 0.0000, 0.5142), H at (0.2181, 0.0000, 0.5078), H at (0.2222, 0.0000, 0.9443), H at (0.2901, 0.5000, 0.5080), H at (0.2992, 0.5000, 0.0982), H at (0.4990, 0.2603, 0.4980) and Rh at (0.4600, 0.0000, 0.4210).

The density of states at the Fermi level comes out at 0.22 states/eV per atom. The calculation puts the total energy at -96.32 eV per cell. The value obtained for the magnetization is 0.000 μB/atom.


3.
This record from Alexandria via LeMat-Bulk describes a relaxed AcZnFeH6 crystal. The functional is GGA-PBE.

It has space group P-6m2 (No. 187), with a = 4.6022 Å, b = 4.6022 Å, c = 4.5664 Å, α = 90.00°, β = 90.00° and γ = 120.00°. The asymmetric unit holds Ac at (0.0000, 0.0000, 0.0000), Zn at (0.3333, 0.6667, 0.5000), Fe at (0.6667, 0.3333, 0.5000) and H at (0.5189, 0.0378, 0.2580).

The density of states at the Fermi level comes out at 0.26 states/eV per atom. The calculation puts the total energy at -36.42 eV per cell. The value obtained for the magnetization is 0.000 μB/atom.


4.
This record from Alexandria via LeMat-Bulk describes a relaxed AcHfFe4 crystal. The functional is GGA-PBE.

It has space group F-43m (No. 216), with a = 7.3091 Å, b = 7.3091 Å, c = 7.3091 Å, α = 90.00°, β = 90.00° and γ = 90.00°. The asymmetric unit holds Ac at (0.0000, 0.0000, 0.0000), Hf at (0.2500, 0.2500, 0.7500) and Fe at (0.1236, 0.1236, 0.3764).

The density of states at the Fermi level comes out at 0.65 states/eV per atom. The formation energy is 3.0 kcal/mol of atoms. The calculation puts the total energy at -188.58 eV per cell. The value obtained for the magnetization is 1.197 μB/atom.